# 1
Here is a relaxed structure of Te2IrPt from the Alexandria database. Energies are from PBE.

Cell and atoms, written as POSCAR:
```
Te2IrPt
1.0
0.0000 3.3988 3.3988
3.3988 0.0000 3.3988
3.3988 3.3988 0.0000
Pt Te Ir
1 2 1
Direct
0.5000 0.5000 0.5000
0.2500 0.2500 0.2500
0.7500 0.7500 0.7500
0.0000 0.0000 0.0000
```

Summary:
- total magnetization (Bohr magnetons per cell) = 0.0
- DOS at the Fermi energy (states/eV/atom) = 0.450
- formation energy from raw total energies (eV per atom) = 0.311
- space-group type = No. 225
- energy relative to the lowest polymorph listed for this composition (eV/f.u.) = 1.771

---

# 2
Here is a relaxed structure of BaEr2Pa from the Alexandria database. Energies are from PBE.

Cell and atoms, written as POSCAR:
```
BaEr2Pa
1.0
-1.3104 -2.8200 1.5890
1.6326 -1.3590 2.7717
-6.5643 5.9505 8.9842
Er Ba Pa
2 1 1
Direct
0.0962 0.0962 0.7115
0.9038 0.9038 0.2885
0.0000 0.0000 0.0000
0.5000 0.5000 0.5000
```

Summary:
- total magnetization (Bohr magnetons per cell) = 0.0
- DFT formation energy (meV/atom) = 294
- DOS at the Fermi energy (states/eV/atom) = 1.396
- space-group type = No. 166

---

# 3
Here is a relaxed structure of LiCaTmAg from the Alexandria database. Energies are from PBE.

Cell and atoms, written as POSCAR:
```
LiCaTmAg
1.0
5.1885 0.0000 0.0000
2.5942 4.4933 0.0000
2.5942 1.4978 4.2364
Ag Li Tm Ca
1 1 1 1
Direct
0.2500 0.2500 0.2500
0.7500 0.7500 0.7500
0.0000 0.0000 0.0000
0.5000 0.5000 0.5000
```

Summary:
- total magnetization (Bohr magnetons per cell) = 0.0
- DFT formation energy (meV/atom) = -90
- DOS at the Fermi energy (states/eV/atom) = 1.033
- space-group type = No. 216

---

# 4
Here is a relaxed structure of As2PtW from the Alexandria database. Energies are from PBE.

Cell and atoms, written as POSCAR:
```
As2PtW
1.0
2.8593 0.0000 0.0000
0.0000 2.8593 0.0000
0.0000 0.0000 9.4678
As W Pt
2 1 1
Direct
0.5000 0.5000 0.3154
0.0000 0.0000 0.9255
0.5000 0.5000 0.7265
0.0000 0.0000 0.5326
```

Summary:
- total magnetization (Bohr magnetons per cell) = 0.0
- DFT formation energy (meV/atom) = 41
- DOS at the Fermi energy (states/eV/atom) = 0.331
- space-group type = No. 99
- energy relative to the lowest polymorph listed for this composition (eV/f.u.) = 0.000

---

# 5
Here is a relaxed structure of MnCuRh4 from the Alexandria database. Energies are from PBE.

Cell and atoms, written as POSCAR:
```
MnCuRh4
1.0
-3.5823 -0.0448 -3.7348
4.6742 -6.9715 0.8124
-3.8513 -7.3643 -1.4297
Cu Rh Mn
2 8 2
Direct
0.5000 0.2500 0.2500
0.0000 0.0000 0.0000
0.4962 0.0925 0.5983
0.0038 0.1575 0.6517
0.4962 0.4037 0.9055
0.5038 0.5983 0.0925
0.9962 0.3445 0.8463
0.0038 0.8463 0.3445
0.9962 0.6517 0.1575
0.5038 0.9055 0.4037
0.0000 0.5000 0.5000
0.5000 0.7500 0.7500
```

Summary:
- total magnetization (Bohr magnetons per cell) = 3.9
- DFT formation energy (meV/atom) = 102
- DOS at the Fermi energy (states/eV/atom) = 1.204
- space-group type = No. 70
- energy relative to the lowest polymorph listed for this composition (eV/f.u.) = 0.000

---

# 6
Here is a relaxed structure of KZn2Os from the Alexandria database. Energies are from PBE.

Cell and atoms, written as POSCAR:
```
KZn2Os
1.0
0.0000 3.3252 3.3252
3.3252 0.0000 3.3252
3.3252 3.3252 0.0000
Zn Os K
2 1 1
Direct
0.2500 0.2500 0.2500
0.7500 0.7500 0.7500
0.5000 0.5000 0.5000
0.0000 0.0000 0.0000
```

Summary:
- total magnetization (Bohr magnetons per cell) = 0.0
- DFT formation energy (meV/atom) = 892
- DOS at the Fermi energy (states/eV/atom) = 1.132
- space-group type = No. 225
- energy relative to the lowest polymorph listed for this composition (eV/f.u.) = 1.917

---

# 7
Here is a relaxed structure of AlTlRhN2 from the Alexandria database. Energies are from PBE.

Cell and atoms, written as POSCAR:
```
AlTlRhN2
1.0
4.1670 0.0000 0.0000
0.0000 5.4285 0.0000
0.0000 0.0000 4.1670
Rh Al N Tl
1 1 2 1
Direct
0.0000 0.5000 0.0000
0.5000 0.5000 0.5000
0.0000 0.0000 0.5000
0.5000 0.0000 0.0000
0.0000 0.0000 0.0000
```

Summary:
- total magnetization (Bohr magnetons per cell) = 2.6
- DOS at the Fermi energy (states/eV/atom) = 0.371
- formation energy from raw total energies (eV per atom) = 2.005
- space-group type = No. 123

---

# 8
Here is a relaxed structure of Pm2PrDy6Tm from the Alexandria database. Energies are from PBE.

Cell and atoms, written as POSCAR:
```
Pm2PrDy6Tm
1.0
-2.4352 -8.3400 -4.2493
5.7816 -3.7307 5.4796
-8.1072 1.5742 3.0274
Dy Pr Pm Tm
12 2 4 2
Direct
0.8812 0.2944 0.5083
0.3141 0.9821 0.4304
0.6188 0.4917 0.7056
0.3812 0.5083 0.2944
0.6859 0.0179 0.5696
0.5572 0.7431 0.1235
0.9428 0.8765 0.2569
0.1188 0.7056 0.4917
0.0572 0.1235 0.7431
0.4428 0.2569 0.8765
0.8141 0.4304 0.9821
0.1859 0.5696 0.0179
0.2500 0.9800 0.0200
0.7500 0.0200 0.9800
0.5442 0.1975 0.3000
0.4558 0.8025 0.7000
0.9558 0.7000 0.8025
0.0442 0.3000 0.1975
0.7500 0.5919 0.4081
0.2500 0.4081 0.5919
```

Summary:
- total magnetization (Bohr magnetons per cell) = 0.0
- DFT formation energy (meV/atom) = 116
- DOS at the Fermi energy (states/eV/atom) = 1.383
- space-group type = No. 15

---

What did the fifth record say?
Here is a relaxed structure of MnCuRh4 from the Alexandria database. Energies are from PBE.

Cell and atoms, written as POSCAR:
```
MnCuRh4
1.0
-3.5823 -0.0448 -3.7348
4.6742 -6.9715 0.8124
-3.8513 -7.3643 -1.4297
Cu Rh Mn
2 8 2
Direct
0.5000 0.2500 0.2500
0.0000 0.0000 0.0000
0.4962 0.0925 0.5983
0.0038 0.1575 0.6517
0.4962 0.4037 0.9055
0.5038 0.5983 0.0925
0.9962 0.3445 0.8463
0.0038 0.8463 0.3445
0.9962 0.6517 0.1575
0.5038 0.9055 0.4037
0.0000 0.5000 0.5000
0.5000 0.7500 0.7500
```

Summary:
- total magnetization (Bohr magnetons per cell) = 3.9
- DFT formation energy (meV/atom) = 102
- DOS at the Fermi energy (states/eV/atom) = 1.204
- space-group type = No. 70
- energy relative to the lowest polymorph listed for this composition (eV/f.u.) = 0.000